Density functional theory data (PBE) for a relaxed Mg2HgAsS crystal.

Cell and atoms, written as POSCAR:
```
Mg2HgAsS
1.0
-3.098 1.693 -3.593
0.977 -4.112 -2.779
-3.851 -2.397 2.192
Hg S Mg As
1 1 2 1
Cartesian
-2.986 -2.408 -2.091
0.489 -2.056 -1.390
-1.549 0.846 -1.797
-1.925 -1.198 1.096
0.000 0.000 0.000
```

Computed properties:
Volume, Å³ per atom: 25.67
Electronic total energy, eV per atom: -2.47